(1)
Entry from Alexandria: a PBEsol-optimized structure of CaLa2Hg (SCAN).

```
CaLa2Hg
1.0
3.902 0.000 0.000
0.000 5.620 0.008
-1.951 -2.722 5.672
Ca Hg La
1 1 2
direct
0.533 0.541 0.067
0.245 0.734 0.490
0.974 0.983 0.947
0.748 0.242 0.496
```

As for the space group: No. 8. As for the calculated formation energy: -1.234 eV/f.u.

=====

(2)
Entry from Alexandria: a PBEsol-optimized structure of Cs2SnAs2Se9 (SCAN).

```
Cs2SnAs2Se9
1.0
-6.115 3.655 -1.020
0.877 -6.924 -3.844
-7.042 -8.140 13.056
Cs Sn As Se
4 2 4 18
direct
0.313 0.233 0.924
0.940 0.480 0.204
0.687 0.767 0.424
0.060 0.520 0.704
0.334 0.109 0.335
0.666 0.891 0.835
0.792 0.961 0.632
0.626 0.814 0.060
0.374 0.186 0.560
0.208 0.039 0.132
0.274 0.777 0.889
0.977 0.973 0.240
0.817 0.231 0.906
0.534 0.011 0.701
0.402 0.398 0.137
0.268 0.626 0.010
0.600 0.553 0.772
0.598 0.602 0.637
0.466 0.989 0.201
0.811 0.765 0.955
0.023 0.027 0.740
0.313 0.859 0.537
0.732 0.374 0.510
0.400 0.447 0.272
0.183 0.769 0.406
0.189 0.235 0.455
0.726 0.223 0.389
0.687 0.141 0.037
```

The raw formation energy is -0.52 eV/atom. As for the space group: No. 4.

=====

(3)
Entry from Alexandria: a PBEsol-optimized structure of KCr2FeO8 (SCAN).

```
KCr2FeO8
1.0
4.978 -0.033 0.039
2.151 4.489 0.039
0.488 0.305 7.566
K Cr Fe O
1 2 1 8
direct
0.000 0.000 0.000
0.629 0.629 0.699
0.371 0.371 0.301
0.000 0.000 0.500
0.683 0.683 0.897
0.317 0.317 0.103
0.783 0.783 0.550
0.217 0.217 0.450
0.777 0.259 0.674
0.223 0.741 0.326
0.259 0.777 0.674
0.741 0.223 0.326
```

The raw formation energy is -1.89 eV/atom. As for the space group: No. 12.

=====

(4)
Entry from Alexandria: a PBEsol-optimized structure of FeHg (SCAN).

```
FeHg
1.0
2.905 0.000 0.000
-1.452 2.516 0.000
0.000 0.000 8.779
Fe Hg
2 2
direct
0.667 0.333 0.750
0.333 0.667 0.250
0.000 0.000 0.000
0.000 0.000 0.500
```

As for the space group: No. 194. As for the calculated formation energy: 0.907 eV/f.u.

=====

(5)
Entry from Alexandria: a PBEsol-optimized structure of Pt2SeCl (SCAN).

```
Pt2SeCl
1.0
3.748 0.000 0.000
1.874 3.246 0.021
1.874 1.035 6.419
Pt Se Cl
2 1 1
direct
0.994 0.994 0.019
0.252 0.252 0.244
0.530 0.530 0.411
0.725 0.724 0.827
```

As for the energy above the most stable polymorph in this dataset: 0.00 eV per formula unit. The raw formation energy is -0.36 eV/atom. As for the space group: No. 160.

=====

(6)
Entry from Alexandria: a PBEsol-optimized structure of Mg2HRu (SCAN).

```
Mg2HRu
1.0
-3.074 -0.651 -0.968
-3.113 -1.480 5.300
-3.022 5.546 0.283
Ru Mg H
2 4 2
direct
0.000 0.000 0.000
0.750 0.500 0.500
0.455 0.170 0.670
0.295 0.830 0.330
0.375 0.330 0.170
0.875 0.670 0.830
0.500 0.000 0.000
0.250 0.500 0.500
```

The total DFT energy (no corrections) comes out at -11.99 eV/atom. As for the space group: No. 122.

=====

(7)
Entry from Alexandria: a PBEsol-optimized structure of ReOsS3 (SCAN).

```
ReOsS3
1.0
4.531 0.000 0.000
0.000 4.531 0.000
0.000 0.000 4.531
Re S Os
1 3 1
direct
0.000 0.000 0.000
0.000 0.500 0.000
0.000 0.000 0.500
0.500 0.000 0.000
0.500 0.500 0.500
```

The raw formation energy is 1.44 eV/atom. As for the space group: No. 221.

=====

(8)
Entry from Alexandria: a PBEsol-optimized structure of Li2AgMo (SCAN).

```
Li2AgMo
1.0
-2.089 -0.649 1.345
1.010 -4.466 -0.585
2.964 0.118 4.211
Ag Li Mo
1 2 1
direct
0.000 0.500 0.500
0.869 0.000 0.757
0.131 0.000 0.243
0.500 0.500 0.000
```

As for the energy above the most stable polymorph in this dataset: 0.00 eV per formula unit. As for the space group: No. 10. As for the calculated formation energy: 1.405 eV/f.u.

=====

(9)
Entry from Alexandria: a PBEsol-optimized structure of ScRh2Pb (SCAN).

```
ScRh2Pb
1.0
-3.108 -1.127 1.460
0.965 -4.065 -1.082
1.980 -0.541 3.797
Pb Sc Rh
1 1 2
direct
0.500 0.000 0.000
0.500 0.500 0.500
0.000 0.000 0.500
0.000 0.500 0.000
```

As for the space group: No. 123. As for the calculated formation energy: -2.565 eV/f.u.

=====

(10)
Entry from Alexandria: a PBEsol-optimized structure of RbHfTa2Sn (SCAN).

```
RbHfTa2Sn
1.0
4.751 0.000 0.000
0.000 4.751 0.000
0.000 0.000 5.397
Hf Sn Rb Ta
1 1 1 2
direct
0.500 0.500 0.500
0.000 0.000 0.500
0.000 0.000 0.000
0.000 0.500 0.000
0.500 0.000 0.000
```

As for the space group: No. 123. As for the calculated formation energy: 14.583 eV/f.u.

=====

(11)
Entry from Alexandria: a PBEsol-optimized structure of CoAu3Br (SCAN).

```
CoAu3Br
1.0
4.724 0.000 0.000
0.000 4.724 0.000
0.000 0.000 4.724
Co Au Br
1 3 1
direct
0.000 0.000 0.000
0.000 0.500 0.000
0.000 0.000 0.500
0.500 0.000 0.000
0.500 0.500 0.500
```

The raw formation energy is 0.81 eV/atom. As for the space group: No. 221.

=====

(12)
Entry from Alexandria: a PBEsol-optimized structure of Cd2Hg3 (SCAN).

```
Cd2Hg3
1.0
4.787 0.000 0.000
-2.393 4.145 0.000
0.000 0.000 5.953
Hg Cd
3 2
direct
0.000 0.000 0.000
0.333 0.667 0.371
0.667 0.333 0.629
0.333 0.667 0.851
0.667 0.333 0.149
```

As for the energy above the most stable polymorph in this dataset: 0.06 eV per formula unit. As for the space group: No. 164. As for the calculated formation energy: 0.104 eV/f.u.

=====

(13)
Entry from Alexandria: a PBEsol-optimized structure of InTcTe2 (SCAN).

```
InTcTe2
1.0
3.159 -0.003 0.000
-1.400 2.833 0.000
0.000 0.000 10.313
In Tc Te
1 1 2
direct
0.500 0.500 0.500
0.500 0.500 0.000
0.000 0.000 0.203
0.000 0.000 0.797
```

The raw formation energy is 0.39 eV/atom. As for the space group: No. 65.

=====

(14)
Entry from Alexandria: a PBEsol-optimized structure of LaAs2Os (SCAN).

```
LaAs2Os
1.0
-1.068 -3.095 -2.316
2.256 -2.742 2.625
-3.919 -0.166 2.028
As Os La
2 1 1
direct
0.000 0.500 0.000
0.000 0.000 0.500
0.500 0.500 0.500
0.500 0.000 0.000
```

As for the energy above the most stable polymorph in this dataset: 2.51 eV per formula unit. As for the space group: No. 65. As for the calculated formation energy: -0.082 eV/f.u.

=====

(15)
Entry from Alexandria: a PBEsol-optimized structure of TePt2Cl (SCAN).

```
TePt2Cl
1.0
2.927 0.000 0.029
0.000 3.661 0.000
-0.086 0.000 7.283
Te Pt Cl
1 2 1
direct
0.000 0.500 0.500
0.000 0.000 0.245
0.000 0.000 0.755
0.000 0.500 0.000
```

As for the energy above the most stable polymorph in this dataset: 0.00 eV per formula unit. The raw formation energy is 0.04 eV/atom. As for the space group: No. 10.

=====

(16)
Entry from Alexandria: a PBEsol-optimized structure of NbAgS2 (SCAN).

```
NbAgS2
1.0
5.822 0.000 0.000
0.000 5.822 0.000
-2.911 -2.911 5.081
Nb S Ag
2 4 2
direct
0.750 0.250 0.500
0.500 0.500 0.000
0.392 0.875 0.250
0.858 0.375 0.250
0.125 0.142 0.750
0.625 0.608 0.750
0.250 0.750 0.500
0.000 0.000 0.000
```

The raw formation energy is -0.39 eV/atom. As for the space group: No. 122.

=====

(17)
Entry from Alexandria: a PBEsol-optimized structure of Ca7H12Cl2 (SCAN).

```
Ca7H12Cl2
1.0
3.616 0.000 0.000
0.000 9.142 0.000
0.000 -4.571 7.917
Ca Cl H
7 2 12
direct
0.000 0.000 0.000
0.000 0.894 0.589
0.000 0.695 0.106
0.000 0.411 0.305
0.500 0.116 0.397
0.500 0.282 0.884
0.500 0.603 0.718
0.000 0.333 0.667
0.500 0.667 0.333
0.000 0.942 0.365
0.000 0.423 0.058
0.000 0.635 0.577
0.000 0.157 0.276
0.000 0.119 0.843
0.000 0.724 0.881
0.500 0.049 0.609
0.500 0.561 0.951
0.500 0.391 0.439
0.500 0.896 0.111
0.500 0.215 0.104
0.500 0.889 0.785
```

The total DFT energy (no corrections) comes out at -6.93 eV/atom. As for the space group: No. 174.

=====

(18)
Entry from Alexandria: a PBEsol-optimized structure of Cs2TiCu2Se4 (SCAN).

```
Cs2TiCu2Se4
1.0
-4.613 0.094 3.465
-3.117 -2.637 -4.078
3.734 -12.631 5.314
Cs Ti Cu Se
4 2 4 8
direct
0.757 0.757 0.000
0.243 0.757 0.500
0.757 0.243 0.500
0.243 0.243 0.000
0.500 0.500 0.250
0.500 0.500 0.750
0.000 0.500 0.750
0.500 0.000 0.750
0.500 0.000 0.250
0.000 0.500 0.250
0.744 0.256 0.156
0.744 0.744 0.344
0.256 0.256 0.656
0.744 0.744 0.656
0.256 0.256 0.344
0.744 0.256 0.844
0.256 0.744 0.844
0.256 0.744 0.156
```

The raw formation energy is -1.11 eV/atom. As for the space group: No. 132.

=====

(19)
Entry from Alexandria: a PBEsol-optimized structure of CaRu3N (SCAN).

```
CaRu3N
1.0
-0.386 0.461 -4.038
-4.063 0.074 0.397
0.118 4.056 0.452
Ru Ca N
3 1 1
direct
0.000 0.500 0.000
0.000 0.000 0.500
0.500 0.000 0.000
0.500 0.500 0.500
0.000 0.000 0.000
```

The raw formation energy is 0.11 eV/atom. As for the space group: No. 221.

=====

(20)
Entry from Alexandria: a PBEsol-optimized structure of KTlZn (SCAN).

```
KTlZn
1.0
3.975 0.000 0.000
0.000 5.004 0.000
0.000 -2.502 4.334
K Tl Zn
1 1 1
direct
0.000 0.000 0.000
0.500 0.333 0.667
0.500 0.667 0.333
```

As for the space group: No. 187. As for the calculated formation energy: -0.078 eV/f.u.

=====

(21)
Entry from Alexandria: a PBEsol-optimized structure of RbZnN3 (SCAN).

```
RbZnN3
1.0
4.434 0.000 0.000
0.000 4.434 0.000
0.000 0.000 4.434
Zn Rb N
1 1 3
direct
0.500 0.500 0.500
0.000 0.000 0.000
0.000 0.500 0.000
0.000 0.000 0.500
0.500 0.000 0.000
```

The raw formation energy is 3.36 eV/atom. As for the space group: No. 221.

=====

(22)
Entry from Alexandria: a PBEsol-optimized structure of SrLaMg2 (SCAN).

```
SrLaMg2
1.0
5.022 0.000 0.000
0.000 5.022 0.000
-2.511 -2.511 5.043
La Mg Sr
1 2 1
direct
0.250 0.750 0.500
0.000 0.000 0.000
0.750 0.250 0.500
0.500 0.500 0.000
```

As for the space group: No. 119. As for the calculated formation energy: 0.276 eV/f.u.

=====

(23)
Entry from Alexandria: a PBEsol-optimized structure of CsBa3Al (SCAN).

```
CsBa3Al
1.0
-6.178 0.470 1.004
-1.044 -0.558 -6.164
-0.372 -6.234 0.628
Cs Ba Al
1 3 1
direct
0.000 0.000 0.000
0.000 0.500 0.000
0.000 0.000 0.500
0.500 0.000 0.000
0.500 0.500 0.500
```

As for the energy above the most stable polymorph in this dataset: 3.72 eV per formula unit. As for the space group: No. 221. As for the calculated formation energy: 4.281 eV/f.u.

=====

(24)
Entry from Alexandria: a PBEsol-optimized structure of YNiSb2 (SCAN).

```
YNiSb2
1.0
3.961 0.000 0.000
0.000 3.940 0.000
0.000 -1.970 5.827
Ni Sb Y
1 2 1
direct
0.500 0.342 0.683
0.000 0.207 0.414
0.500 0.555 0.110
0.000 0.927 0.853
```

The raw formation energy is -0.42 eV/atom. As for the space group: No. 38.

=====

(25)
Entry from Alexandria: a PBEsol-optimized structure of ScBi3Cl (SCAN).

```
ScBi3Cl
1.0
-2.015 2.343 4.373
1.553 -4.184 2.958
4.712 2.382 0.895
Sc Bi Cl
1 3 1
direct
0.500 0.500 0.500
0.000 0.500 0.000
0.000 0.000 0.500
0.500 0.000 0.000
0.000 0.000 0.000
```

The raw formation energy is 0.48 eV/atom. As for the space group: No. 221.

=====

(26)
Entry from Alexandria: a PBEsol-optimized structure of K2RbF (SCAN).

```
K2RbF
1.0
8.322 0.000 0.000
4.161 7.207 0.000
4.161 2.402 6.795
K Rb F
4 2 2
direct
0.625 0.125 0.625
0.125 0.625 0.625
0.625 0.625 0.125
0.625 0.625 0.625
0.000 0.000 0.000
0.250 0.250 0.250
0.500 0.500 0.500
0.750 0.750 0.750
```

The raw formation energy is -1.35 eV/atom. As for the space group: No. 227.